No. 1
Computed, not measured: crystalline GdGe2Mo at its relaxed geometry at the PBE-GGA level of DFT.

Results
formation energy	-29.7	kJ/mol of atoms
crystal system	trigonal

Geometry as extended XYZ:
```
4
Lattice="-0.089 -2.743 -3.297 3.483 -0.523 -2.450 2.704 -4.772 1.106" Properties=species:S:1:pos:R:3 pbc="T T T"
Mo 3.049 -4.019 -2.321
Gd 0.000 0.000 0.000
Ge 1.639 -2.278 -0.940
Ge 4.458 -5.760 -3.701
```


No. 2
Computed, not measured: crystalline KRb2H6Au2 at its relaxed geometry at the PBE-GGA level of DFT.

Results
crystal system	monoclinic

Geometry as extended XYZ:
```
11
Lattice="6.059 0.000 0.000 -3.030 5.920 -0.732 0.000 -4.322 6.464" Properties=species:S:1:pos:R:3 pbc="T T T"
Rb 0.000 0.012 4.668
H 1.372 4.983 0.654
H 1.658 -3.385 5.077
Rb 3.030 1.585 1.064
Au 3.030 5.085 0.504
H 0.000 1.107 0.753
K 3.030 -2.161 3.232
H 4.402 -3.385 5.077
H 3.030 0.491 4.979
Au 0.000 -3.487 5.228
H -1.372 4.983 0.654
```


No. 3
Computed, not measured: crystalline RbLaPd at its relaxed geometry at the PBE-GGA level of DFT.

Results
formation energy	-39.2	kJ/mol of atoms
crystal system	monoclinic

Geometry as extended XYZ:
```
12
Lattice="14.542 0.000 -0.005 0.000 5.978 0.000 -1.213 0.000 5.858" Properties=species:S:1:pos:R:3 pbc="T T T"
Rb 11.530 0.749 3.944
La 5.084 2.227 4.127
Pd 4.715 5.216 4.050
Rb 1.799 0.749 1.910
Pd 8.614 5.216 1.803
Pd 8.007 2.227 4.732
Pd 5.322 2.227 1.121
La 7.638 5.216 4.655
La 8.245 2.227 1.726
Rb 12.136 3.738 1.015
Rb 1.193 3.738 4.839
La 5.691 5.216 1.198
```


No. 4
Computed, not measured: crystalline YSi2As at its relaxed geometry at the PBE-GGA level of DFT.

Results
energy relative to the elements, uncorrected	-332	meV/atom
crystal system	monoclinic

Geometry as extended XYZ:
```
4
Lattice="-1.865 1.821 4.617 -4.648 0.822 2.414 -0.815 -3.588 2.656" Properties=species:S:1:pos:R:3 pbc="T T T"
As -5.496 -0.709 7.265
Si -0.853 -3.236 2.544
Si -3.626 -0.826 4.955
Y -1.832 -0.236 2.422
```


No. 5
Computed, not measured: crystalline LaBeSe2 at its relaxed geometry at the PBE-GGA level of DFT.

Results
energy relative to the elements, uncorrected	-668	meV/atom
crystal system	tetragonal

Geometry as extended XYZ:
```
4
Lattice="-0.064 2.915 -5.377 -4.771 -0.089 -3.827 1.337 0.946 5.893" Properties=species:S:1:pos:R:3 pbc="T T T"
La -0.572 2.637 -2.043
Se -2.925 1.135 -1.268
Be -2.417 1.413 -4.602
Se 0.000 0.000 0.000
```


No. 6
Computed, not measured: crystalline K2BeHg at its relaxed geometry at the PBE-GGA level of DFT.

Results
formation energy	47.1	kJ/mol of atoms
crystal system	cubic

Geometry as extended XYZ:
```
4
Lattice="0.000 4.152 4.152 4.152 0.000 4.152 4.152 4.152 0.000" Properties=species:S:1:pos:R:3 pbc="T T T"
Be 0.000 0.000 0.000
Hg 4.152 4.152 4.152
K 6.228 6.228 6.228
K 2.076 2.076 2.076
```


No. 7
Computed, not measured: crystalline AlSiI2O at its relaxed geometry at the PBE-GGA level of DFT.

Results
energy relative to the elements, uncorrected	-425	meV/atom
crystal system	tetragonal

Geometry as extended XYZ:
```
5
Lattice="-4.190 3.608 -1.540 -2.693 -1.006 4.968 1.740 2.652 1.480" Properties=species:S:1:pos:R:3 pbc="T T T"
Si -2.571 2.627 2.454
Al 0.000 0.000 0.000
I -2.095 1.804 -0.770
O 0.870 1.326 0.740
I -1.346 -0.503 2.484
```


No. 8
Computed, not measured: crystalline PuReSi at its relaxed geometry at the PBE-GGA level of DFT.

Results
energy relative to the elements, uncorrected	-122	meV/atom
crystal system	hexagonal

Geometry as extended XYZ:
```
3
Lattice="-2.434 -2.316 -1.403 1.922 -3.225 1.988 -3.133 2.122 1.932" Properties=species:S:1:pos:R:3 pbc="T T T"
Si -0.406 -0.386 -0.234
Pu -1.386 -2.987 1.034
Re -1.853 -0.046 1.717
```


no.,VASP energy (Ry/atom)
1,-0.6500
2,-0.2069
3,-0.3015
4,-0.4279
5,-0.3361
6,-0.0784
7,-0.2844
8,-0.7979